# 1
Material: Bi2P4O13
Method: DFT, PBE-GGA
State: optimized geometry

Lattice parameters (Å, degrees): 7.010 7.010 13.397 76.20 76.20 59.82
Atoms (fractional coordinates):
Bi 0.696 0.700 0.941
Bi 0.300 0.304 0.559
Bi 0.304 0.300 0.059
Bi 0.700 0.696 0.441
P 0.861 0.159 0.637
P 0.841 0.139 0.863
P 0.139 0.841 0.363
P 0.159 0.861 0.137
P 0.760 0.779 0.658
P 0.221 0.240 0.842
P 0.240 0.221 0.342
P 0.779 0.760 0.158
O 0.761 0.239 0.750
O 0.239 0.761 0.250
O 0.685 0.311 0.934
O 0.689 0.315 0.566
O 0.315 0.689 0.066
O 0.311 0.685 0.434
O 0.877 0.902 0.893
O 0.098 0.123 0.607
O 0.123 0.098 0.107
O 0.902 0.877 0.393
O 0.895 0.911 0.656
O 0.089 0.105 0.844
O 0.308 0.291 0.229
O 0.709 0.692 0.271
O 0.692 0.709 0.771
O 0.291 0.308 0.729
O 0.926 0.564 0.096
O 0.436 0.074 0.404
O 0.074 0.436 0.904
O 0.564 0.926 0.596
O 0.584 0.921 0.097
O 0.079 0.416 0.403
O 0.416 0.079 0.903
O 0.921 0.584 0.597
O 0.911 0.895 0.156
O 0.105 0.089 0.344

As for the total moment: 0.000 Bohr magnetons per cell. Its density of states at the Fermi level is 0.0000 states/eV per atom. As for the uncorrected formation energy: -46.00 kcal/mol of atoms. As for the calculated volume: 273.6 Å³/f.u. Its space-group type is No. 15. The calculated total energy comes out at -263.52 eV per cell.


# 2
Material: Pm2YHoEr5
Method: DFT, PBE-GGA
State: optimized geometry

Lattice parameters (Å, degrees): 8.602 8.602 9.851 115.89 115.89 90.00
Atoms (fractional coordinates):
Pm 0.117 0.383 0.000
Pm 0.617 0.117 0.000
Pm 0.383 0.883 0.000
Pm 0.883 0.617 0.000
Y 0.250 0.250 0.500
Y 0.750 0.750 0.500
Ho 0.250 0.750 0.500
Ho 0.750 0.250 0.500
Er 0.928 0.428 0.278
Er 0.649 0.149 0.722
Er 0.072 0.572 0.722
Er 0.149 0.072 0.722
Er 0.572 0.649 0.722
Er 0.851 0.928 0.278
Er 0.428 0.351 0.278
Er 0.351 0.851 0.278
Er 0.500 0.500 0.000
Er 0.000 0.000 0.000

As for the total moment: 0.000 Bohr magnetons per cell. Its density of states at the Fermi level is 1.2464 states/eV per atom. As for the calculated volume: 286.7 Å³/f.u. Its space-group type is No. 140. The calculated total energy comes out at -81.80 eV per cell.


Look up the calculated total energy of the first one. -263.52 eV per cell